# 1
Tm8AlSn2: relaxed, PBE-GGA.

Output
- raw total energy (eV/atom) = -4.6212
- DOS(E_F) (states/eV/cell) = 8.9

```
Tm8AlSn2
1.0
5.0064 0.0000 0.0000
0.0000 6.6067 0.1566
-2.5032 -2.6121 9.1908
Tm Al Sn
8 1 2
Direct
0.4092 0.5291 0.8185
0.6539 0.0004 0.3078
0.7840 0.6794 0.5679
0.9786 0.2249 0.9572
0.2160 0.3206 0.4321
0.3461 0.9996 0.6922
0.5908 0.4709 0.1815
0.0214 0.7751 0.0428
0.5000 0.0000 0.0000
0.8188 0.2413 0.6375
0.1812 0.7587 0.3625
```

# 2
LaZnRe: relaxed, PBE-GGA.

Output
- distance to the lowest polymorph of the same formula (eV per atom) = 0.2681
- raw total energy (eV/atom) = -5.6426
- DOS(E_F) (states/eV/cell) = 2.6

```
LaZnRe
1.0
2.9239 0.0000 0.0000
-1.4620 2.5322 0.0000
0.0000 0.0000 7.8757
La Re Zn
1 1 1
Direct
0.0000 0.0000 0.0025
0.6667 0.3333 0.3613
0.3333 0.6667 0.6362
```

Calculated calculated formation energy in order - -0.301; 0.574 eV/atom